# 1
Here is a relaxed YScZn crystal from Alexandria via LeMat-Bulk. Energies are from PBE-GGA.

- SG: P6_3/mmc
- Formation energy from the elements: -0.2175 eV per atom
- Density: 4.8 g/cm3
- Energy above the lowest structure with this stoichiometry: 38 meV/atom

a = 4.997 Å, b = 4.997 Å, c = 6.413 Å
α = 90.00°, β = 90.00°, γ = 120.00°
Positions (direct):
Y (0.333, 0.667, 0.250)
Y (0.667, 0.333, 0.750)
Sc (0.000, 0.000, 0.000)
Sc (0.000, 0.000, 0.500)
Zn (0.333, 0.667, 0.750)
Zn (0.667, 0.333, 0.250)

***

# 2
Here is a relaxed Y2ScZn crystal from Alexandria via LeMat-Bulk. Energies are from PBE-GGA.

- SG: I-42d
- Formation energy from the elements: 0.1286 eV per atom
- Density: 4.4 g/cm3

a = 6.657 Å, b = 6.657 Å, c = 6.657 Å
α = 102.65°, β = 102.65°, γ = 124.20°
Positions (direct):
Y (0.079, 0.625, 0.954)
Y (0.375, 0.329, 0.454)
Y (0.671, 0.125, 0.046)
Y (0.875, 0.921, 0.546)
Sc (0.250, 0.750, 0.500)
Sc (0.500, 0.500, 0.000)
Zn (0.000, 0.000, 0.000)
Zn (0.750, 0.250, 0.500)

***

# 3
Here is a relaxed YScZn17 crystal from Alexandria via LeMat-Bulk. Energies are from PBE-GGA.

- SG: R3m
- Formation energy from the elements: -0.2017 eV per atom
- Density: 6.9 g/cm3

a = 6.750 Å, b = 6.750 Å, c = 6.750 Å
α = 82.62°, β = 82.62°, γ = 82.62°
Positions (direct):
Y (0.000, 0.000, 0.000)
Sc (0.668, 0.668, 0.668)
Zn (0.034, 0.338, 0.633)
Zn (0.034, 0.633, 0.338)
Zn (0.180, 0.686, 0.686)
Zn (0.238, 0.238, 0.238)
Zn (0.331, 0.331, 0.839)
Zn (0.331, 0.839, 0.331)
Zn (0.338, 0.034, 0.633)
Zn (0.338, 0.633, 0.034)
Zn (0.439, 0.439, 0.439)
Zn (0.504, 0.978, 0.978)
Zn (0.633, 0.034, 0.338)
Zn (0.633, 0.338, 0.034)
Zn (0.686, 0.180, 0.686)
Zn (0.686, 0.686, 0.180)
Zn (0.839, 0.331, 0.331)
Zn (0.978, 0.504, 0.978)
Zn (0.978, 0.978, 0.504)

***

# 4
Here is a relaxed Y2ScZn crystal from Alexandria via LeMat-Bulk. Energies are from PBE-GGA.

- SG: R3m
- Formation energy from the elements: -0.0384 eV per atom
- Density: 4.5 g/cm3

a = 10.257 Å, b = 10.257 Å, c = 10.257 Å
α = 19.63°, β = 19.63°, γ = 19.63°
Positions (direct):
Y (0.000, 0.000, 0.000)
Y (0.235, 0.235, 0.235)
Sc (0.758, 0.758, 0.758)
Zn (0.493, 0.493, 0.493)

***

# 5
Here is a relaxed YScZn crystal from Alexandria via LeMat-Bulk. Energies are from PBE-GGA.

- SG: P3m1
- Formation energy from the elements: -0.0842 eV per atom
- Density: 4.5 g/cm3
- Energy above the lowest structure with this stoichiometry: 171 meV/atom

a = 4.809 Å, b = 4.809 Å, c = 3.643 Å
α = 90.00°, β = 90.00°, γ = 120.00°
Positions (direct):
Y (0.000, 0.000, 0.000)
Sc (0.333, 0.667, 0.508)
Zn (0.667, 0.333, 0.470)

***

# 6
Here is a relaxed YSc3Zn8 crystal from Alexandria via LeMat-Bulk. Energies are from PBE-GGA.

- SG: P3m1
- Formation energy from the elements: -0.3301 eV per atom
- Density: 5.9 g/cm3

a = 5.344 Å, b = 5.344 Å, c = 8.535 Å
α = 90.00°, β = 90.00°, γ = 120.00°
Positions (direct):
Y (0.000, 0.000, 0.000)
Sc (0.000, 0.000, 0.380)
Sc (0.667, 0.333, 0.489)
Sc (0.667, 0.333, 0.862)
Zn (0.163, 0.327, 0.681)
Zn (0.163, 0.837, 0.681)
Zn (0.333, 0.667, 0.434)
Zn (0.333, 0.667, 0.933)
Zn (0.504, 0.009, 0.187)
Zn (0.504, 0.496, 0.187)
Zn (0.673, 0.837, 0.681)
Zn (0.991, 0.496, 0.187)

***

Magnetic moment (μB per formula unit)
0.00, 0.00, 0.00, 0.01, 0.57, 0.00